No. 1
The following is a DFT calculation (PBE) of a relaxed KHICl crystal.

- volume (Å³/atom) = 38.82
- total energy (eV per atom) = -2.95

Structure (CIF):
```
data_KHICl
_cell_length_a 4.999
_cell_length_b 4.664
_cell_length_c 6.828
_cell_angle_alpha 90.00
_cell_angle_beta 102.72
_cell_angle_gamma 90.00
_space_group_name_H-M_alt 'P 1 m 1'
_space_group_IT_number 6
loop_
_space_group_symop_operation_xyz
'x,y,z'
'x,-y,z'
loop_
_atom_site_label
_atom_site_type_symbol
_atom_site_fract_x
_atom_site_fract_y
_atom_site_fract_z
K1 K 0.000 0.000 0.000
H1 H 0.827 0.500 0.474
I1 I 0.551 0.500 0.156
Cl1 Cl 0.017 0.500 0.650
```


No. 2
The following is a DFT calculation (PBE) of a relaxed Ti7Sn3O20 crystal.

- E_form (uncorrected) (kJ per mole of atoms) = -247.4
- volume (Å³/atom) = 11.27
- total energy (eV per atom) = -8.11

Structure (CIF):
```
data_Ti7Sn3O20
_cell_length_a 6.654
_cell_length_b 6.654
_cell_length_c 15.278
_cell_angle_alpha 90.00
_cell_angle_beta 90.00
_cell_angle_gamma 90.00
_space_group_name_H-M_alt 'C m m m'
_space_group_IT_number 65
_space_group_name_Hall '-C 2 2'
loop_
_atom_site_label
_atom_site_type_symbol
_atom_site_fract_x
_atom_site_fract_y
_atom_site_fract_z
Ti1 Ti 0.000 0.000 0.000
Ti2 Ti 0.000 0.000 0.400
Ti3 Ti 0.000 0.500 0.097
Ti4 Ti 0.000 0.500 0.298
Sn1 Sn 0.000 0.000 0.200
Sn2 Sn 0.000 0.500 0.500
O1 O 0.000 0.187 0.500
O2 O 0.000 0.199 0.095
O3 O 0.000 0.201 0.304
O4 O 0.187 0.500 0.198
O5 O 0.194 0.500 0.000
O6 O 0.200 0.500 0.395
```


No. 3
The following is a DFT calculation (PBE) of a relaxed Tb2ErSe2S2 crystal.

- E_form (uncorrected) (kJ per mole of atoms) = -147.1
- volume (Å³/atom) = 26.20
- total energy (eV per atom) = -5.67

Structure (CIF):
```
data_Tb2ErSe2S2
_cell_length_a 5.029
_cell_length_b 5.029
_cell_length_c 14.500
_cell_angle_alpha 90.00
_cell_angle_beta 90.00
_cell_angle_gamma 90.00
_space_group_name_H-M_alt 'I 4/m m m'
_space_group_IT_number 139
_space_group_name_Hall '-I 4 2'
loop_
_atom_site_label
_atom_site_type_symbol
_atom_site_fract_x
_atom_site_fract_y
_atom_site_fract_z
Tb1 Tb 0.000 0.000 0.120
Er1 Er 0.000 0.000 0.500
Se1 Se 0.000 0.000 0.311
S1 S 0.000 0.500 0.000
```


No. 4
The following is a DFT calculation (PBE) of a relaxed Mg2Cd4Hg crystal.

- energy above the lowest structure with this stoichiometry (eV per formula unit) = 0.00
- volume (Å³/atom) = 23.50
- total energy (eV per atom) = -1.05
- formation energy from the elements (meV/atom) = -33

Structure (CIF):
```
data_Mg2Cd4Hg
_cell_length_a 6.117
_cell_length_b 10.309
_cell_length_c 10.435
_cell_angle_alpha 90.00
_cell_angle_beta 90.00
_cell_angle_gamma 90.00
_space_group_name_H-M_alt 'F m m m'
_space_group_IT_number 69
_space_group_name_Hall '-F 2 2'
loop_
_atom_site_label
_atom_site_type_symbol
_atom_site_fract_x
_atom_site_fract_y
_atom_site_fract_z
Mg1 Mg 0.250 0.250 0.250
Cd1 Cd 0.000 0.000 0.204
Cd2 Cd 0.000 0.203 0.000
Hg1 Hg 0.000 0.000 0.500
```


No. 5
The following is a DFT calculation (PBE) of a relaxed Pu4FeN7 crystal.

- E_form (uncorrected) (kJ per mole of atoms) = -87.7
- volume (Å³/atom) = 12.59
- total energy (eV per atom) = -11.25

Structure (CIF):
```
data_Pu4FeN7
_cell_length_a 12.488
_cell_length_b 3.760
_cell_length_c 8.810
_cell_angle_alpha 90.00
_cell_angle_beta 133.07
_cell_angle_gamma 90.00
_space_group_name_H-M_alt 'C 1 2/m 1'
_space_group_IT_number 12
loop_
_space_group_symop_operation_xyz
'x,y,z'
'-x,-y,-z'
'-x,y,-z'
'x,-y,z'
'x+1/2,y+1/2,z'
'-x+1/2,-y+1/2,-z'
'-x+1/2,y+1/2,-z'
'x+1/2,-y+1/2,z'
loop_
_atom_site_label
_atom_site_type_symbol
_atom_site_fract_x
_atom_site_fract_y
_atom_site_fract_z
Pu1 Pu 0.081 0.000 0.378
Pu2 Pu 0.250 0.000 0.162
Fe1 Fe 0.000 0.500 0.000
N1 N 0.000 0.000 0.000
N2 N 0.090 0.500 0.891
N3 N 0.130 0.000 0.686
N4 N 0.204 0.500 0.553
```


No. 6
The following is a DFT calculation (PBE) of a relaxed PmDy5Y6 crystal.

- energy above the lowest structure with this stoichiometry (eV per formula unit) = 0.03
- volume (Å³/atom) = 32.05
- total energy (eV per atom) = -5.52
- formation energy from the elements (meV/atom) = 22

Structure (CIF):
```
data_PmDy5Y6
_cell_length_a 11.837
_cell_length_b 10.700
_cell_length_c 6.170
_cell_angle_alpha 90.00
_cell_angle_beta 100.12
_cell_angle_gamma 90.00
_space_group_name_H-M_alt 'C 1 2/m 1'
_space_group_IT_number 12
loop_
_space_group_symop_operation_xyz
'x,y,z'
'-x,-y,-z'
'-x,y,-z'
'x,-y,z'
'x+1/2,y+1/2,z'
'-x+1/2,-y+1/2,-z'
'-x+1/2,y+1/2,-z'
'x+1/2,-y+1/2,z'
loop_
_atom_site_label
_atom_site_type_symbol
_atom_site_fract_x
_atom_site_fract_y
_atom_site_fract_z
Pm1 Pm 0.000 0.000 0.000
Dy1 Dy 0.000 0.168 0.500
Dy2 Dy 0.000 0.334 0.000
Dy3 Dy 0.000 0.500 0.500
Y1 Y 0.250 0.000 0.749
Y2 Y 0.250 0.167 0.250
```